# 1
PBE SmEr8Pb2, optimized geometry; E = -4.477 eV per atom; calculated volume = 339.5 Å³ per cell; formation energy = -55 meV per atom
1.0
-2.6015 0.5447 -5.0717
-1.4464 -8.3596 1.9870
-3.7307 6.2935 4.7325
Er Pb Sm
8 2 1
Direct
0.7026 0.4088 0.4088 Er
0.8768 0.9029 0.6777 Er
0.1232 0.0971 0.3223 Er
0.8768 0.6777 0.9029 Er
0.5000 0.2185 0.7815 Er
0.5000 0.7815 0.2185 Er
0.1232 0.3223 0.0971 Er
0.2974 0.5912 0.5912 Er
0.0000 0.3048 0.6952 Pb
0.0000 0.6952 0.3048 Pb
0.5000 0.0000 0.0000 Sm



# 2
PBE SrYSc2, optimized geometry; E = -4.974 eV per atom; calculated volume = 128.4 Å³ per cell; formation energy = 228 meV per atom
1.0
-1.5574 -0.3645 -5.1716
-2.0875 -2.6853 0.8179
-6.1192 2.9845 1.6324
Sc Y Sr
2 1 1
Direct
0.0000 0.1903 0.9956 Sc
0.5000 0.0743 0.2245 Sc
0.5000 0.7838 0.8063 Y
0.0000 0.4516 0.4735 Sr